This record from the Alexandria database describes an optimized crystal structure of Hf2CoSi2. The functional is PBE-GGA.

The structure belongs to space group Ibam (No. 72); the cell edges are 5.3342, 11.7055 and 5.2516 Å and the angles 90.00°, 90.00° and 90.00°. The inequivalent atoms are Hf at (0.2240, 0.1678, 0.0000), Co at (0.0000, 0.0000, 0.2500) and Si at (0.2056, 0.4103, 0.0000).

The total magnetization is 0.000 μB/atom. For the energy relative to the elements, uncorrected, the calculation gives -0.622 eV per atom. The value obtained for the density of states at the Fermi level is 0.511 states/eV per atom.


This record from the Alexandria database describes an optimized crystal structure of Ac4AgRu2. The functional is PBE-GGA.

The structure belongs to space group Imma (No. 74); the cell edges are 8.8126, 10.0568 and 10.8032 Å and the angles 90.00°, 90.00° and 90.00°. The inequivalent atoms are Ac at (0.0000, 0.0569, 0.2382), Ac at (0.2158, 0.2500, 0.5197), Ag at (0.0000, 0.2500, 0.7729), Ru at (0.0000, 0.0000, 0.5000) and Ru at (0.2500, 0.2500, 0.2500).

The total magnetization is 0.000 μB/atom. The value obtained for the energy of formation is -0.5 eV per formula unit. As for the energy above the lowest structure with this stoichiometry: 0.65 eV/f.u. The value obtained for the density of states at the Fermi level is 0.503 states/eV per atom.


This record from the Alexandria database describes an optimized crystal structure of GdPa2C. The functional is PBE-GGA.

The structure belongs to space group R-3m (No. 166, hexagonal axes); the cell edges are 3.3446, 3.3446 and 28.2320 Å and the angles 90.00°, 90.00° and 120.00°. The inequivalent atoms are Gd at (0.0000, 0.0000, 0.0000), Pa at (0.0000, 0.0000, 0.1141) and C at (0.0000, 0.0000, 0.5000).

The total magnetization is 1.848 μB/atom. The value obtained for the energy of formation is 0.0 eV per formula unit. The value obtained for the density of states at the Fermi level is 1.587 states/eV per atom.


This record from the Alexandria database describes an optimized crystal structure of Y2HRuSe. The functional is PBE-GGA.

The structure belongs to space group P4/mmm (No. 123); the cell edges are 4.9688, 4.9688 and 3.7072 Å and the angles 90.00°, 90.00° and 90.00°. The inequivalent atoms are Y at (0.0000, 0.5000, 0.0000), H at (0.0000, 0.0000, 0.0000), Ru at (0.5000, 0.5000, 0.5000) and Se at (0.0000, 0.0000, 0.5000).

The total magnetization is 0.000 μB/atom. As for the uncorrected energy: -6.028 eV/atom. The value obtained for the density of states at the Fermi level is 0.475 states/eV per atom.